Crystalline BaZr2Sb at its relaxed geometry, computed with GGA-PBE.

Unit cell a=11.139 b=3.424 c=6.087 alpha=90.00 beta=103.20 gamma=90.00
Space group C2/m (No. 12)
Inequivalent atoms, fractional coordinates:
Ba1 0.000 0.000 0.000 (multiplicity 2)
Zr1 0.224 0.000 0.694 (multiplicity 4)
Sb1 0.000 0.500 0.500 (multiplicity 2)

Summary:
Energy relative to the elements, uncorrected   0.000 eV/atom

Crystalline Ir2WSe at its relaxed geometry, computed with GGA-PBE.

Unit cell a=2.854 b=2.854 c=7.802 alpha=90.00 beta=90.00 gamma=90.00
Space group P4/mmm (No. 123)
Inequivalent atoms, fractional coordinates:
Ir1 0.000 0.000 0.233 (multiplicity 2)
W1 0.500 0.500 0.000 (multiplicity 1)
Se1 0.500 0.500 0.500 (multiplicity 1)

Summary:
Energy relative to the elements, uncorrected   0.084 eV/atom

Crystalline GaReP at its relaxed geometry, computed with GGA-PBE.

Unit cell a=9.002 b=3.143 c=7.373 alpha=90.00 beta=118.26 gamma=90.00
Space group Cm (No. 8)
Inequivalent atoms, fractional coordinates:
Ga1 0.000 0.000 0.000 (multiplicity 2)
Ga2 0.013 0.500 0.664 (multiplicity 2)
Re1 0.263 0.000 0.728 (multiplicity 2)
Re2 0.465 0.500 0.343 (multiplicity 2)
P1 0.217 0.500 0.442 (multiplicity 2)
P2 0.294 0.000 0.078 (multiplicity 2)

Summary:
E_form   -0.167 eV/atom

Crystalline IrIBr2 at its relaxed geometry, computed with GGA-PBE.

Unit cell a=3.2107 b=3.2107 c=39.6978 alpha=90.00 beta=90.00 gamma=120.00
Space group R-3m (No. 166, hexagonal axes)
Inequivalent atoms, fractional coordinates:
Ir1 0.0000 0.0000 0.0000 (multiplicity 3)
I1 0.0000 0.0000 0.5000 (multiplicity 3)
Br1 0.0000 0.0000 0.0592 (multiplicity 6)

Summary:
Energy relative to the elements, uncorrected   0.452 eV/atom

Crystalline AcVSe at its relaxed geometry, computed with GGA-PBE.

Unit cell a=7.973 b=13.676 c=8.462 alpha=90.00 beta=90.00 gamma=90.00
Space group Ima2 (No. 46)
Inequivalent atoms, fractional coordinates:
Ac1 0.250 0.022 0.000 (multiplicity 4)
Ac2 0.250 0.201 0.558 (multiplicity 4)
Ac3 0.250 0.586 0.977 (multiplicity 4)
V1 0.118 0.692 0.319 (multiplicity 8)
V2 0.250 0.702 0.600 (multiplicity 4)
Se1 0.000 0.000 0.722 (multiplicity 4)
Se2 0.026 0.142 0.237 (multiplicity 8)

Summary:
Energy relative to the elements, uncorrected   -0.703 eV/atom

Crystalline Ba3Zn4Si2 at its relaxed geometry, computed with GGA-PBE.

Unit cell a=12.515 b=4.394 c=9.193 alpha=90.00 beta=96.02 gamma=90.00
Space group C2/m (No. 12)
Inequivalent atoms, fractional coordinates:
Ba1 0.000 0.000 0.000 (multiplicity 2)
Ba2 0.163 0.500 0.660 (multiplicity 4)
Zn1 0.058 0.000 0.381 (multiplicity 4)
Zn2 0.221 0.500 0.067 (multiplicity 4)
Si1 0.112 0.500 0.280 (multiplicity 4)

Summary:
Energy relative to the elements, uncorrected   -0.298 eV/atom

Crystalline Ni3Rh2 at its relaxed geometry, computed with GGA-PBE.

Unit cell a=2.6311 b=2.6311 c=31.2692 alpha=90.00 beta=90.00 gamma=120.00
Space group R-3m (No. 166, hexagonal axes)
Inequivalent atoms, fractional coordinates:
Ni1 0.0000 0.0000 0.0000 (multiplicity 3)
Ni2 0.0000 0.0000 0.3962 (multiplicity 6)
Rh1 0.0000 0.0000 0.2029 (multiplicity 6)

Summary:
E_form   0.073 eV/atom

Crystalline MgNp2In9 at its relaxed geometry, computed with GGA-PBE.

Unit cell a=4.643 b=4.643 c=13.853 alpha=90.00 beta=90.00 gamma=90.00
Space group P4/mmm (No. 123)
Inequivalent atoms, fractional coordinates:
Mg1 0.000 0.000 0.000 (multiplicity 1)
Np1 0.000 0.000 0.330 (multiplicity 2)
In1 0.000 0.500 0.162 (multiplicity 4)
In2 0.000 0.500 0.500 (multiplicity 2)
In3 0.500 0.500 0.000 (multiplicity 1)
In4 0.500 0.500 0.336 (multiplicity 2)

Summary:
E_form   0.003 eV/atom

Crystalline La5Nd2Sc2 at its relaxed geometry, computed with GGA-PBE.

Unit cell a=20.223 b=3.503 c=8.739 alpha=90.00 beta=102.38 gamma=90.00
Space group C2/m (No. 12)
Inequivalent atoms, fractional coordinates:
La1 0.000 0.000 0.000 (multiplicity 2)
La2 0.164 0.500 0.994 (multiplicity 4)
La3 0.220 0.000 0.649 (multiplicity 4)
Nd1 0.055 0.000 0.660 (multiplicity 4)
Sc1 0.099 0.500 0.345 (multiplicity 4)

Summary:
E_form   0.114 eV/atom

Crystalline KSr2LiPt at its relaxed geometry, computed with GGA-PBE.

Unit cell a=6.006 b=6.006 c=5.380 alpha=90.00 beta=90.00 gamma=90.00
Space group P4/mmm (No. 123)
Inequivalent atoms, fractional coordinates:
K1 0.000 0.000 0.000 (multiplicity 1)
Sr1 0.000 0.500 0.500 (multiplicity 2)
Li1 0.500 0.500 0.000 (multiplicity 1)
Pt1 0.500 0.500 0.500 (multiplicity 1)

Summary:
E_form   -0.273 eV/atom

Crystalline AlZn2SiAg at its relaxed geometry, computed with GGA-PBE.

Unit cell a=4.693 b=4.693 c=4.913 alpha=90.00 beta=90.00 gamma=90.00
Space group P4/mmm (No. 123)
Inequivalent atoms, fractional coordinates:
Al1 0.000 0.000 0.000 (multiplicity 1)
Zn1 0.000 0.500 0.500 (multiplicity 2)
Si1 0.000 0.000 0.500 (multiplicity 1)
Ag1 0.500 0.500 0.000 (multiplicity 1)

Summary:
Energy relative to the elements, uncorrected   0.525 eV/atom

Crystalline ScTc2Os at its relaxed geometry, computed with GGA-PBE.

Unit cell a=5.356 b=8.796 c=2.780 alpha=90.00 beta=109.14 gamma=90.00
Space group C2/m (No. 12)
Inequivalent atoms, fractional coordinates:
Sc1 0.000 0.000 0.000 (multiplicity 2)
Tc1 0.250 0.250 0.500 (multiplicity 4)
Os1 0.000 0.500 0.000 (multiplicity 2)

Summary:
E_form   0.009 eV/atom